A plane-wave DFT calculation with GGA-PBE was carried out for a relaxed structure of PrAlRu.

abc: 3.3011 3.3011 6.0801
angles: 105.75 105.75 90.00
Sites, in units of the cell vectors:
Pr  0.0125  0.0125  0.0250
Ru  0.6959  0.6959  0.3919
Al  0.2916  0.2916  0.5832

Density = 7.3 g cm⁻³
Crystal system = tetragonal
Formation energy from the elements = -329 meV per atom

A plane-wave DFT calculation with GGA-PBE was carried out for a relaxed structure of Pr5Al2Ru3.

abc: 8.6072 8.6072 8.6072
angles: 109.47 109.47 109.47
Sites, in units of the cell vectors:
Pr  0.2500  0.6847  0.4347
Pr  0.7500  0.8153  0.0653
Pr  0.4347  0.2500  0.6847
Pr  0.6847  0.4347  0.2500
Pr  0.0653  0.7500  0.8153
Pr  0.8153  0.0653  0.7500
Pr  0.2138  0.2138  0.2138
Pr  0.5000  0.0000  0.2862
Pr  0.2862  0.5000  0.0000
Pr  0.0000  0.2862  0.5000
Al  0.5900  0.5900  0.5900
Al  0.5000  0.0000  0.9100
Al  0.9100  0.5000  0.0000
Al  0.0000  0.9100  0.5000
Ru  0.2500  0.1178  0.8678
Ru  0.7500  0.3822  0.6322
Ru  0.8678  0.2500  0.1178
Ru  0.1178  0.8678  0.2500
Ru  0.6322  0.7500  0.3822
Ru  0.3822  0.6322  0.7500

Density = 7.2 g cm⁻³
Crystal system = cubic
Formation energy from the elements = -369 meV per atom

A plane-wave DFT calculation with GGA-PBE was carried out for a relaxed structure of Pr2Al6Ru.

abc: 5.7056 6.0636 6.0636
angles: 60.00 89.99 89.99
Sites, in units of the cell vectors:
Pr  0.8191  0.6667  0.6667
Pr  0.1809  0.3333  0.3333
Al  0.3118  0.3383  0.8309
Al  0.3118  0.8308  0.8308
Al  0.3118  0.8309  0.3383
Al  0.6882  0.6617  0.1691
Al  0.6882  0.1692  0.1692
Al  0.6882  0.1691  0.6617
Ru  0.0000  0.0000  0.0000

Density = 5.0 g cm⁻³
Crystal system = trigonal
Formation energy from the elements = -448 meV per atom

A plane-wave DFT calculation with GGA-PBE was carried out for a relaxed structure of Pr8Al2Ru.

abc: 5.4864 7.1210 9.4016
angles: 109.82 106.96 90.00
Sites, in units of the cell vectors:
Pr  0.3978  0.5875  0.7957
Pr  0.6485  0.9235  0.2969
Pr  0.7975  0.7389  0.5951
Pr  0.9902  0.2295  0.9805
Pr  0.2025  0.2611  0.4049
Pr  0.3515  0.0765  0.7031
Pr  0.6022  0.4125  0.2043
Pr  0.0098  0.7705  0.0195
Al  0.8193  0.3086  0.6386
Al  0.1807  0.6914  0.3614
Ru  0.5000  0.0000  0.0000

Density = 6.5 g cm⁻³
Crystal system = monoclinic
Formation energy from the elements = -153 meV per atom

A plane-wave DFT calculation with GGA-PBE was carried out for a relaxed structure of Pr2Al3Ru.

abc: 5.6530 5.6530 5.5449
angles: 90.00 120.66 119.99
Sites, in units of the cell vectors:
Pr  0.7491  0.3748  0.1239
Pr  0.2509  0.6252  0.8761
Al  0.5000  0.5000  0.5000
Al  0.0000  0.0000  0.5000
Al  0.5000  0.0000  0.5000
Ru  0.0000  0.0000  0.0000

Density = 6.2 g cm⁻³
Crystal system = trigonal
Formation energy from the elements = -460 meV per atom

A plane-wave DFT calculation with GGA-PBE was carried out for a relaxed structure of PrAl2Ru.

abc: 3.1708 3.1708 7.5234
angles: 90.00 90.00 90.00
Sites, in units of the cell vectors:
Pr  0.5000  0.5000  0.5000
Ru  0.5000  0.5000  0.0000
Al  0.0000  0.0000  0.8214
Al  0.0000  0.0000  0.1786

Density = 6.5 g cm⁻³
Crystal system = tetragonal
Formation energy from the elements = -468 meV per atom

no.,V (Å³/atom)
1,20.4
2,24.5
3,20.2
4,29.9
5,20.7
6,18.9